# 1
A geometry-optimized LiCuGeSe3 structure, computed with PBE.

Values from the calculation:
The value obtained for the total energy is -45.39 eV/cell.

The structure in CIF format:
```
data_LiCuGeSe3
_symmetry_space_group_name_H-M 'P 1'
_symmetry_Int_Tables_number 1
_cell_length_a 6.5231
_cell_length_b 6.5231
_cell_length_c 10.6695
_cell_angle_alpha 90.00
_cell_angle_beta 90.00
_cell_angle_gamma 32.08
loop_
_symmetry_equiv_pos_as_xyz
'x,y,z'
loop_
_atom_site_label
_atom_site_fract_x
_atom_site_fract_y
_atom_site_fract_z
Cu1 0.5442 0.5442 0.2500
Cu2 0.4558 0.4558 0.7500
Ge1 0.0000 0.0000 0.0000
Ge2 0.0000 0.0000 0.5000
Li1 0.2385 0.2385 0.2500
Li2 0.7615 0.7615 0.7500
Se1 0.6429 0.6429 0.0579
Se2 0.9146 0.9146 0.2500
Se3 0.6429 0.6429 0.4421
Se4 0.3571 0.3571 0.5579
Se5 0.0854 0.0854 0.7500
Se6 0.3571 0.3571 0.9421
```



# 2
A geometry-optimized LiCuGeTe2Se structure, computed with PBE.

Values from the calculation:
The value obtained for the total energy is -42.84 eV/cell.

The structure in CIF format:
```
data_LiCuGeTe2Se
_symmetry_space_group_name_H-M 'P 1'
_symmetry_Int_Tables_number 1
_cell_length_a 6.6110
_cell_length_b 6.6110
_cell_length_c 10.9475
_cell_angle_alpha 90.00
_cell_angle_beta 90.00
_cell_angle_gamma 144.91
loop_
_symmetry_equiv_pos_as_xyz
'x,y,z'
loop_
_atom_site_label
_atom_site_fract_x
_atom_site_fract_y
_atom_site_fract_z
Cu1 0.4697 0.5303 0.2500
Cu2 0.5303 0.4697 0.7500
Ge1 0.0000 0.0000 0.0000
Ge2 0.0000 0.0000 0.5000
Li1 0.7271 0.2729 0.2500
Li2 0.2729 0.7271 0.7500
Se1 0.0757 0.9243 0.2500
Se2 0.9243 0.0757 0.7500
Te1 0.3419 0.6581 0.0597
Te2 0.3419 0.6581 0.4403
Te3 0.6581 0.3419 0.5597
Te4 0.6581 0.3419 0.9403
```



# 3
A geometry-optimized LiCuGeTeSe2 structure, computed with PBE.

Values from the calculation:
The value obtained for the total energy is -44.29 eV/cell.

The structure in CIF format:
```
data_LiCuGeTeSe2
_symmetry_space_group_name_H-M 'P 1'
_symmetry_Int_Tables_number 1
_cell_length_a 6.8171
_cell_length_b 6.8171
_cell_length_c 11.1040
_cell_angle_alpha 90.00
_cell_angle_beta 90.00
_cell_angle_gamma 149.48
loop_
_symmetry_equiv_pos_as_xyz
'x,y,z'
loop_
_atom_site_label
_atom_site_fract_x
_atom_site_fract_y
_atom_site_fract_z
Cu1 0.9571 0.0429 0.2500
Cu2 0.0429 0.9571 0.7500
Ge1 0.5000 0.5000 0.0000
Ge2 0.5000 0.5000 0.5000
Li1 0.2938 0.7062 0.2500
Li2 0.7062 0.2938 0.7500
Se1 0.8646 0.1354 0.0648
Se2 0.8646 0.1354 0.4352
Se3 0.1354 0.8646 0.5648
Se4 0.1354 0.8646 0.9352
Te1 0.6023 0.3977 0.2500
Te2 0.3977 0.6023 0.7500
```



# 4
A geometry-optimized Li4Cu2SiGe structure, computed with PBE.

Values from the calculation:
The value obtained for the total energy is -27.52 eV/cell.

The structure in CIF format:
```
data_Li4Cu2SiGe
_symmetry_space_group_name_H-M 'P 1'
_symmetry_Int_Tables_number 1
_cell_length_a 4.1690
_cell_length_b 4.1690
_cell_length_c 5.8846
_cell_angle_alpha 90.00
_cell_angle_beta 90.00
_cell_angle_gamma 90.00
loop_
_symmetry_equiv_pos_as_xyz
'x,y,z'
loop_
_atom_site_label
_atom_site_fract_x
_atom_site_fract_y
_atom_site_fract_z
Cu1 0.0000 0.5000 0.2613
Cu2 0.5000 0.0000 0.7387
Ge1 0.0000 0.0000 0.0000
Li1 0.5000 0.5000 0.0000
Li2 0.5000 0.0000 0.2528
Li3 0.0000 0.0000 0.5000
Li4 0.0000 0.5000 0.7472
Si1 0.5000 0.5000 0.5000
```



# 5
A geometry-optimized LiCuGeTe3 structure, computed with PBE.

Values from the calculation:
The value obtained for the total energy is -41.54 eV/cell.

The structure in CIF format:
```
data_LiCuGeTe3
_symmetry_space_group_name_H-M 'P 1'
_symmetry_Int_Tables_number 1
_cell_length_a 7.1533
_cell_length_b 7.1533
_cell_length_c 11.3827
_cell_angle_alpha 90.00
_cell_angle_beta 90.00
_cell_angle_gamma 30.43
loop_
_symmetry_equiv_pos_as_xyz
'x,y,z'
loop_
_atom_site_label
_atom_site_fract_x
_atom_site_fract_y
_atom_site_fract_z
Cu1 0.4534 0.4534 0.2500
Cu2 0.5466 0.5466 0.7500
Ge1 0.0000 0.0000 0.0000
Ge2 0.0000 0.0000 0.5000
Li1 0.7669 0.7669 0.2500
Li2 0.2331 0.2331 0.7500
Te1 0.3513 0.3513 0.0588
Te2 0.0855 0.0855 0.2500
Te3 0.3513 0.3513 0.4412
Te4 0.6487 0.6487 0.5588
Te5 0.9145 0.9145 0.7500
Te6 0.6487 0.6487 0.9412
```



# 6
A geometry-optimized LiCuGeW structure, computed with PBE.

Values from the calculation:
Its excess energy over the best structure of this formula in the dataset is 213 meV/atom.

The structure in CIF format:
```
data_LiCuGeW
_symmetry_space_group_name_H-M 'P 1'
_symmetry_Int_Tables_number 1
_cell_length_a 4.2901
_cell_length_b 4.2901
_cell_length_c 4.2901
_cell_angle_alpha 60.00
_cell_angle_beta 60.00
_cell_angle_gamma 60.00
loop_
_symmetry_equiv_pos_as_xyz
'x,y,z'
loop_
_atom_site_label
_atom_site_fract_x
_atom_site_fract_y
_atom_site_fract_z
Cu1 0.7500 0.7500 0.7500
Ge1 0.0000 0.0000 0.0000
Li1 0.2500 0.2500 0.2500
W1 0.5000 0.5000 0.5000
```